DFT (PBE+U) results for an optimized crystal structure of Sr2AlTlV2O7.

Computed properties:
Final energy = -84.1 eV per cell
Fermi-level density of states = 4.898 states/eV per cell

Unit cell a=3.6897 b=3.6897 c=13.5564 alpha=90.00 beta=90.00 gamma=90.00
Space group P4/mmm (No. 123)
One atom of each set of equivalent atoms:
Sr  0.0000  0.0000  0.1803
Al  0.0000  0.0000  0.5000
Tl  0.5000  0.5000  0.0000
V  0.5000  0.5000  0.3566
O  0.0000  0.0000  0.0000
O  0.0000  0.5000  0.4107
O  0.5000  0.5000  0.2125